RbTlSn2, relaxed, DFT PBE; total energy = -0.2139 Ry per atom; DFT formation energy = -7.3 kJ per mole of atoms; SG = No. 62; energy above the most stable polymorph in this dataset = 32 meV per atom
1.0
8.354 0.000 0.000
0.000 7.602 0.000
0.000 0.000 9.797
Rb Tl Sn
4 4 8
direct
0.007 0.250 0.174 Rb
0.493 0.750 0.674 Rb
0.507 0.250 0.326 Rb
0.993 0.750 0.826 Rb
0.206 0.750 0.328 Tl
0.294 0.250 0.828 Tl
0.706 0.750 0.172 Tl
0.794 0.250 0.672 Tl
0.159 0.058 0.542 Sn
0.159 0.442 0.542 Sn
0.341 0.558 0.042 Sn
0.341 0.942 0.042 Sn
0.659 0.058 0.958 Sn
0.659 0.442 0.958 Sn
0.841 0.558 0.458 Sn
0.841 0.942 0.458 Sn

***

SrCaMn2Te, relaxed, DFT PBE; raw formation energy = 0.46 eV per atom; total energy = -0.3362 Ry per atom; SG = No. 123; energy above the most stable polymorph in this dataset = 0 meV per atom
1.0
5.210 0.000 0.000
0.000 5.210 0.000
0.000 0.000 6.056
Sr Ca Mn Te
1 1 2 1
direct
0.000 0.000 0.000 Sr
0.500 0.500 0.000 Ca
0.000 0.500 0.500 Mn
0.500 0.000 0.500 Mn
0.000 0.000 0.500 Te

***

Pm4AlCd2Ag, relaxed, DFT PBE; total energy = -0.2747 Ry per atom; DFT formation energy = -29.8 kJ per mole of atoms; SG = No. 166
1.0
2.665 1.538 8.755
-2.665 1.538 8.755
0.000 -3.077 8.755
Pm Al Cd Ag
4 1 2 1
direct
0.124 0.124 0.124 Pm
0.374 0.374 0.374 Pm
0.626 0.626 0.626 Pm
0.876 0.876 0.876 Pm
0.000 0.000 0.000 Al
0.251 0.251 0.251 Cd
0.749 0.749 0.749 Cd
0.500 0.500 0.500 Ag